(1)
LaTb6Nd (GGA-PBE, optimized geometry); energy of formation from the pure elements = 0.36 eV/atom; DOS(E_F) = 1.43 states/eV per atom; VASP energy = -4.323 eV per atom; polymorph energy (0 for the lowest one) = 261.2 kJ/mol of formula units
1.0
-3.457 2.365 -4.552
-1.834 -5.624 1.806
-1.909 2.767 8.798
Tb Nd La
6 1 1
direct
0.702 0.376 0.078 Tb
0.298 0.624 0.922 Tb
0.361 0.459 0.299 Tb
0.160 0.062 0.701 Tb
0.840 0.938 0.299 Tb
0.639 0.541 0.701 Tb
0.000 0.000 0.000 Nd
0.500 0.000 0.500 La

***

(2)
La7Tb3Nd2 (GGA-PBE, optimized geometry); energy of formation from the pure elements = 0.06 eV/atom; DOS(E_F) = 1.51 states/eV per atom; VASP energy = -4.768 eV per atom
1.0
-0.092 0.820 -3.514
-0.425 -6.401 -1.483
-18.119 -3.699 -0.388
La Tb Nd
7 3 2
direct
0.000 0.446 0.834 La
0.000 0.554 0.166 La
0.500 0.229 0.509 La
0.500 0.055 0.171 La
0.500 0.945 0.829 La
0.000 0.000 0.000 La
0.500 0.771 0.491 La
0.000 0.882 0.662 Tb
0.500 0.500 0.000 Tb
0.000 0.118 0.338 Tb
0.500 0.609 0.331 Nd
0.500 0.391 0.669 Nd

***

(3)
La4Tb10Nd (GGA-PBE, optimized geometry); energy of formation from the pure elements = 0.33 eV/atom; DOS(E_F) = 1.47 states/eV per atom; VASP energy = -4.390 eV per atom
1.0
-1.330 -0.500 10.714
4.123 -5.237 5.719
4.262 4.541 6.192
Tb La Nd
10 4 1
direct
0.226 0.324 0.908 Tb
0.866 0.908 0.676 Tb
0.451 0.092 0.324 Tb
0.549 0.908 0.676 Tb
0.543 0.324 0.908 Tb
0.134 0.092 0.324 Tb
0.750 0.500 0.500 Tb
0.774 0.676 0.092 Tb
0.250 0.500 0.500 Tb
0.457 0.676 0.092 Tb
0.062 0.605 0.271 La
0.938 0.395 0.729 La
0.667 0.271 0.395 La
0.333 0.729 0.605 La
0.000 0.000 0.000 Nd

***

(4)
La4Tb2Nd (GGA-PBE, optimized geometry); energy of formation from the pure elements = 0.22 eV/atom; DOS(E_F) = 1.62 states/eV per atom; VASP energy = -4.605 eV per atom; polymorph energy (0 for the lowest one) = 99.5 kJ/mol of formula units
1.0
-1.975 -3.189 5.903
7.013 -3.965 4.348
0.747 5.434 7.329
Tb La Nd
4 8 2
direct
0.500 0.500 0.500 Tb
0.717 0.033 0.533 Tb
0.283 0.967 0.467 Tb
0.500 0.000 0.000 Tb
0.850 0.149 0.152 La
0.150 0.851 0.848 La
0.225 0.243 0.743 La
0.212 0.757 0.257 La
0.150 0.348 0.351 La
0.850 0.652 0.649 La
0.788 0.243 0.743 La
0.775 0.757 0.257 La
0.500 0.500 0.000 Nd
0.000 0.500 0.000 Nd

***

(5)
LaTb4Nd (GGA-PBE, optimized geometry); energy of formation from the pure elements = 0.24 eV/atom; DOS(E_F) = 1.53 states/eV per atom; VASP energy = -4.463 eV per atom; polymorph energy (0 for the lowest one) = 125.5 kJ/mol of formula units
1.0
-2.746 -2.663 -5.818
-2.943 -1.096 6.215
-5.423 8.088 -1.142
Tb La Nd
8 2 2
direct
0.632 0.836 0.750 Tb
0.344 0.656 0.427 Tb
0.344 0.656 0.073 Tb
0.164 0.368 0.750 Tb
0.368 0.164 0.250 Tb
0.656 0.344 0.927 Tb
0.836 0.632 0.250 Tb
0.656 0.344 0.573 Tb
0.000 0.000 0.500 La
0.000 0.000 0.000 La
0.179 0.821 0.750 Nd
0.821 0.179 0.250 Nd

***

(6)
La3TbNd (GGA-PBE, optimized geometry); energy of formation from the pure elements = 0.28 eV/atom; DOS(E_F) = 0.96 states/eV per atom; VASP energy = -4.559 eV per atom; polymorph energy (0 for the lowest one) = 43.7 kJ/mol of formula units
1.0
-2.890 4.699 5.681
-3.425 -5.222 2.577
6.804 -3.890 1.160
La Nd Tb
6 2 2
direct
0.801 0.750 0.602 La
0.602 0.250 0.801 La
0.199 0.250 0.398 La
0.801 0.750 0.199 La
0.199 0.250 0.801 La
0.398 0.750 0.199 La
0.000 0.500 0.000 Nd
0.000 0.000 0.000 Nd
0.334 0.750 0.667 Tb
0.666 0.250 0.333 Tb

***

(7)
LaTb8Nd3 (GGA-PBE, optimized geometry); energy of formation from the pure elements = 0.60 eV/atom; DOS(E_F) = 1.44 states/eV per atom; VASP energy = -4.087 eV per atom
1.0
0.688 2.004 -8.143
-3.240 -7.543 1.842
-5.591 4.325 4.564
Tb La Nd
8 1 3
direct
0.502 0.750 0.750 Tb
0.000 0.874 0.626 Tb
0.249 0.374 0.374 Tb
0.751 0.126 0.126 Tb
0.000 0.752 0.250 Tb
0.000 0.250 0.752 Tb
0.000 0.626 0.874 Tb
0.498 0.248 0.248 Tb
0.000 0.000 0.000 La
0.500 0.250 0.750 Nd
0.500 0.750 0.250 Nd
0.000 0.500 0.500 Nd

***

(8)
La6Tb3Nd2 (GGA-PBE, optimized geometry); energy of formation from the pure elements = 0.02 eV/atom; DOS(E_F) = 1.78 states/eV per atom; VASP energy = -4.796 eV per atom
1.0
-0.200 4.130 -4.862
-7.096 2.233 3.517
-6.104 13.728 2.077
La Nd Tb
6 2 3
direct
0.271 0.907 0.182 La
0.183 0.277 0.454 La
0.093 0.637 0.727 La
0.907 0.363 0.273 La
0.817 0.723 0.546 La
0.729 0.093 0.818 La
0.639 0.458 0.090 Nd
0.361 0.542 0.910 Nd
0.000 0.000 0.000 Tb
0.452 0.180 0.639 Tb
0.548 0.820 0.361 Tb